VASP calculation (GGA-PBE) on a geometry-optimized Pr2NiSn3Pd4 structure.

formation energy from the elements = -0.6530 eV per atom
space group = P-4m2 (115)

Structure (POSCAR):
```
Pr2NiSn3Pd4
1.0
4.3745 0.0000 0.0000
0.0000 4.3745 0.0000
0.0000 0.0000 11.2950
Pd Pr Sn Ni
4 2 3 1
Direct
0.0000 0.0000 0.0000
0.5000 0.5000 0.0000
0.0000 0.5000 0.3676
0.5000 0.0000 0.6324
0.0000 0.5000 0.7324
0.5000 0.0000 0.2676
0.0000 0.5000 0.1350
0.5000 0.0000 0.8650
0.0000 0.0000 0.5000
0.5000 0.5000 0.5000
```